# BaPaN2 PBE optimized geometry
# Formation energy (no corrections) = -1.18 eV per atom
# Crystal system = trigonal
# Energy = -0.6029 Ry/atom
data_BaPaN2
_space_group_name_H-M_alt 'R 3 m'
_space_group_IT_number 160
_space_group_name_Hall 'R 3 -2"'
_cell_length_a 3.6286
_cell_length_b 3.6286
_cell_length_c 20.0901
_cell_angle_alpha 90.00
_cell_angle_beta 90.00
_cell_angle_gamma 120.00
loop_
_atom_site_label
_atom_site_fract_x
_atom_site_fract_y
_atom_site_fract_z
Ba1 0.0000 0.0000 0.0000
Pa1 0.0000 0.0000 0.1757
N1 0.0000 0.0000 0.5643
N2 0.0000 0.0000 0.7910

---

# DyNbFe4 PBE optimized geometry
# Crystal system = cubic
# Energy = -0.5989 Ry/atom
# E above lowest polymorph = 16.8 meV per atom
data_DyNbFe4
_space_group_name_H-M_alt 'F -4 3 m'
_space_group_IT_number 216
_space_group_name_Hall 'F -4 2 3'
_cell_length_a 7.0535
_cell_length_b 7.0535
_cell_length_c 7.0535
_cell_angle_alpha 90.00
_cell_angle_beta 90.00
_cell_angle_gamma 90.00
loop_
_atom_site_label
_atom_site_fract_x
_atom_site_fract_y
_atom_site_fract_z
Dy1 0.0000 0.0000 0.0000
Nb1 0.2500 0.2500 0.2500
Fe1 0.1244 0.1244 0.6244

---

# SrMn2Au PBE optimized geometry
# Crystal system = monoclinic
# Energy = -0.4001 Ry/atom
data_SrMn2Au
_space_group_name_H-M_alt 'P 1 2/m 1'
_space_group_IT_number 10
_cell_length_a 4.2862
_cell_length_b 4.2171
_cell_length_c 4.7356
_cell_angle_alpha 90.00
_cell_angle_beta 90.11
_cell_angle_gamma 90.00
loop_
_space_group_symop_operation_xyz
'x,y,z'
'-x,-y,-z'
'-x,y,-z'
'x,-y,z'
loop_
_atom_site_label
_atom_site_fract_x
_atom_site_fract_y
_atom_site_fract_z
Sr1 0.0000 0.0000 0.0000
Mn1 0.0000 0.5000 0.5000
Mn2 0.5000 0.0000 0.5000
Au1 0.5000 0.5000 0.0000

---

# Dy5In4Pt PBE optimized geometry
# Crystal system = tetragonal
# Energy = -0.3405 Ry/atom
data_Dy5In4Pt
_space_group_name_H-M_alt 'P 4/m m m'
_space_group_IT_number 123
_space_group_name_Hall '-P 4 2'
_cell_length_a 3.5379
_cell_length_b 3.5379
_cell_length_c 20.3952
_cell_angle_alpha 90.00
_cell_angle_beta 90.00
_cell_angle_gamma 90.00
loop_
_atom_site_label
_atom_site_fract_x
_atom_site_fract_y
_atom_site_fract_z
Dy1 0.0000 0.0000 0.0000
Dy2 0.0000 0.0000 0.2079
Dy3 0.0000 0.0000 0.4177
In1 0.5000 0.5000 0.1039
In2 0.5000 0.5000 0.3108
Pt1 0.5000 0.5000 0.5000

---

# LiGaFe PBE optimized geometry
# Crystal system = monoclinic
# Energy = -0.3416 Ry/atom
data_LiGaFe
_space_group_name_H-M_alt 'P 1 m 1'
_space_group_IT_number 6
_cell_length_a 3.0338
_cell_length_b 3.0389
_cell_length_c 9.0449
_cell_angle_alpha 90.00
_cell_angle_beta 90.00
_cell_angle_gamma 90.00
loop_
_space_group_symop_operation_xyz
'x,y,z'
'x,-y,z'
loop_
_atom_site_label
_atom_site_fract_x
_atom_site_fract_y
_atom_site_fract_z
Li1 0.0000 0.0000 0.0000
Li2 0.4999 0.5000 0.2011
Ga1 0.4986 0.5000 0.8241
Ga2 0.9986 0.0000 0.3763
Fe1 0.4984 0.5000 0.5322
Fe2 0.9984 0.0000 0.6683

---

# In2SbSe PBE optimized geometry
# Formation energy (no corrections) = -0.14 eV per atom
# Crystal system = trigonal
# Energy = -0.2507 Ry/atom
# E above lowest polymorph = 105.3 meV per atom
data_In2SbSe
_space_group_name_H-M_alt 'R 3 m'
_space_group_IT_number 160
_space_group_name_Hall 'R 3 -2"'
_cell_length_a 4.1070
_cell_length_b 4.1070
_cell_length_c 22.7755
_cell_angle_alpha 90.00
_cell_angle_beta 90.00
_cell_angle_gamma 120.00
loop_
_atom_site_label
_atom_site_fract_x
_atom_site_fract_y
_atom_site_fract_z
In1 0.0000 0.0000 0.0000
In2 0.0000 0.0000 0.1643
Sb1 0.0000 0.0000 0.5851
Se1 0.0000 0.0000 0.4091

---

# CdIn2BAu PBE optimized geometry
# Crystal system = tetragonal
# Energy = -0.2142 Ry/atom
data_CdIn2BAu
_space_group_name_H-M_alt 'P 4/m m m'
_space_group_IT_number 123
_space_group_name_Hall '-P 4 2'
_cell_length_a 5.0958
_cell_length_b 5.0958
_cell_length_c 4.2576
_cell_angle_alpha 90.00
_cell_angle_beta 90.00
_cell_angle_gamma 90.00
loop_
_atom_site_label
_atom_site_fract_x
_atom_site_fract_y
_atom_site_fract_z
Cd1 0.0000 0.0000 0.0000
In1 0.0000 0.5000 0.5000
B1 0.5000 0.5000 0.5000
Au1 0.5000 0.5000 0.0000

---

# PmInCo PBE optimized geometry
# Crystal system = cubic
# Energy = -0.3648 Ry/atom
# E above lowest polymorph = 189.7 meV per atom
data_PmInCo
_space_group_name_H-M_alt 'F -4 3 m'
_space_group_IT_number 216
_space_group_name_Hall 'F -4 2 3'
_cell_length_a 6.5330
_cell_length_b 6.5330
_cell_length_c 6.5330
_cell_angle_alpha 90.00
_cell_angle_beta 90.00
_cell_angle_gamma 90.00
loop_
_atom_site_label
_atom_site_fract_x
_atom_site_fract_y
_atom_site_fract_z
Pm1 0.0000 0.0000 0.0000
In1 0.0000 0.0000 0.5000
Co1 0.2500 0.2500 0.7500

---

# MgZrCd2 PBE optimized geometry
# Crystal system = monoclinic
# Energy = -0.2256 Ry/atom
data_MgZrCd2
_space_group_name_H-M_alt 'P 1 2/m 1'
_space_group_IT_number 10
_cell_length_a 2.9993
_cell_length_b 4.5793
_cell_length_c 6.3806
_cell_angle_alpha 90.00
_cell_angle_beta 100.59
_cell_angle_gamma 90.00
loop_
_space_group_symop_operation_xyz
'x,y,z'
'-x,-y,-z'
'-x,y,-z'
'x,-y,z'
loop_
_atom_site_label
_atom_site_fract_x
_atom_site_fract_y
_atom_site_fract_z
Mg1 0.0000 0.0000 0.0000
Zr1 0.0000 0.0000 0.5000
Cd1 0.4367 0.5000 0.2497

---

# Na2HfBIr PBE optimized geometry
# Crystal system = tetragonal
# Energy = -0.3632 Ry/atom
data_Na2HfBIr
_space_group_name_H-M_alt 'P 4/m m m'
_space_group_IT_number 123
_space_group_name_Hall '-P 4 2'
_cell_length_a 4.5473
_cell_length_b 4.5473
_cell_length_c 4.2115
_cell_angle_alpha 90.00
_cell_angle_beta 90.00
_cell_angle_gamma 90.00
loop_
_atom_site_label
_atom_site_fract_x
_atom_site_fract_y
_atom_site_fract_z
Na1 0.0000 0.5000 0.0000
Hf1 0.0000 0.0000 0.5000
B1 0.5000 0.5000 0.0000
Ir1 0.5000 0.5000 0.5000

---

# BAu PBE optimized geometry
# Crystal system = cubic
# Energy = -0.3057 Ry/atom
data_BAu
_space_group_name_H-M_alt 'F -4 3 m'
_space_group_IT_number 216
_space_group_name_Hall 'F -4 2 3'
_cell_length_a 4.9896
_cell_length_b 4.9896
_cell_length_c 4.9896
_cell_angle_alpha 90.00
_cell_angle_beta 90.00
_cell_angle_gamma 90.00
loop_
_atom_site_label
_atom_site_fract_x
_atom_site_fract_y
_atom_site_fract_z
B1 0.0000 0.0000 0.0000
Au1 0.2500 0.2500 0.7500

---

# CeDy5Ag4 PBE optimized geometry
# Crystal system = tetragonal
# Energy = -0.3137 Ry/atom
data_CeDy5Ag4
_space_group_name_H-M_alt 'P 4/m m m'
_space_group_IT_number 123
_space_group_name_Hall '-P 4 2'
_cell_length_a 3.6036
_cell_length_b 3.6036
_cell_length_c 19.4219
_cell_angle_alpha 90.00
_cell_angle_beta 90.00
_cell_angle_gamma 90.00
loop_
_atom_site_label
_atom_site_fract_x
_atom_site_fract_y
_atom_site_fract_z
Ce1 0.0000 0.0000 0.0000
Dy1 0.5000 0.5000 0.1211
Dy2 0.5000 0.5000 0.3096
Dy3 0.5000 0.5000 0.5000
Ag1 0.0000 0.0000 0.2154
Ag2 0.0000 0.0000 0.4056

---

What did the eleventh record say?
# BAu PBE optimized geometry
# Crystal system = cubic
# Energy = -0.3057 Ry/atom
data_BAu
_space_group_name_H-M_alt 'F -4 3 m'
_space_group_IT_number 216
_space_group_name_Hall 'F -4 2 3'
_cell_length_a 4.9896
_cell_length_b 4.9896
_cell_length_c 4.9896
_cell_angle_alpha 90.00
_cell_angle_beta 90.00
_cell_angle_gamma 90.00
loop_
_atom_site_label
_atom_site_fract_x
_atom_site_fract_y
_atom_site_fract_z
B1 0.0000 0.0000 0.0000
Au1 0.2500 0.2500 0.7500

---

Q: Among the records above, which one has the lowest energy?
A: BaPaN2